Entry 1:
Material: MnTl2Br2F2
Method: DFT, GGA+U
State: optimized geometry Values from VASP.

```
&SYSTEM
  ibrav = 0, nat = 14, ntyp = 4
/
ATOMIC_SPECIES
Mn 54.94 Mn.upf
Tl 204.38 Tl.upf
Br 79.90 Br.upf
F 19.00 F.upf
ATOMIC_POSITIONS crystal
Mn 0.000 0.000 0.000
Mn 0.500 0.500 0.500
Tl 0.000 0.000 0.376
Tl 0.000 0.000 0.624
Tl 0.500 0.500 0.124
Tl 0.500 0.500 0.876
Br 0.000 0.000 0.161
Br 0.000 0.000 0.839
Br 0.500 0.500 0.339
Br 0.500 0.500 0.661
F 0.000 0.500 0.000
F 0.000 0.500 0.500
F 0.500 0.000 0.000
F 0.500 0.000 0.500
CELL_PARAMETERS angstrom
4.525 0.000 0.000
0.000 4.525 0.000
0.000 0.000 16.882
```

Values from the calculation:
**Density of states at the Fermi level**: 0.00 states/eV per atom

***

Entry 2:
Material: MnTl2Br3F
Method: DFT, GGA+U
State: optimized geometry Values from VASP.

```
&SYSTEM
  ibrav = 0, nat = 14, ntyp = 4
/
ATOMIC_SPECIES
Mn 54.94 Mn.upf
Tl 204.38 Tl.upf
Br 79.90 Br.upf
F 19.00 F.upf
ATOMIC_POSITIONS crystal
Mn 0.000 0.000 0.000
Mn 0.500 0.500 0.500
Tl 0.000 0.000 0.350
Tl 0.000 0.000 0.650
Tl 0.500 0.500 0.150
Tl 0.500 0.500 0.850
Br 0.000 0.000 0.157
Br 0.000 0.000 0.843
Br 0.000 0.500 0.000
Br 0.500 0.000 0.500
Br 0.500 0.500 0.343
Br 0.500 0.500 0.657
F 0.000 0.500 0.500
F 0.500 0.000 0.000
CELL_PARAMETERS angstrom
4.173 0.000 0.000
0.000 5.510 0.000
0.000 0.000 17.746
```

Values from the calculation:
**Density of states at the Fermi level**: 0.00 states/eV per atom

***

Entry 3:
Material: Mn2Tl3Br2F5
Method: DFT, GGA+U
State: optimized geometry Values from VASP.

```
&SYSTEM
  ibrav = 0, nat = 12, ntyp = 4
/
ATOMIC_SPECIES
Mn 54.94 Mn.upf
Tl 204.38 Tl.upf
Br 79.90 Br.upf
F 19.00 F.upf
ATOMIC_POSITIONS crystal
Mn 0.083 0.083 0.000
Mn 0.917 0.917 0.000
Tl 0.334 0.334 0.000
Tl 0.500 0.500 0.000
Tl 0.666 0.666 0.000
Br 0.192 0.192 0.000
Br 0.808 0.808 0.000
F 0.000 0.000 0.000
F 0.082 0.582 0.500
F 0.418 0.918 0.500
F 0.582 0.082 0.500
F 0.918 0.418 0.500
CELL_PARAMETERS angstrom
-2.221 2.221 12.732
2.221 -2.221 12.732
2.221 2.221 -12.732
```

Values from the calculation:
**Density of states at the Fermi level**: 0.00 states/eV per atom

***

Entry 4:
Material: Y2MnBrF
Method: DFT, GGA+U
State: optimized geometry Values from VASP.

```
&SYSTEM
  ibrav = 0, nat = 5, ntyp = 4
/
ATOMIC_SPECIES
Y 88.91 Y.upf
Mn 54.94 Mn.upf
Br 79.90 Br.upf
F 19.00 F.upf
ATOMIC_POSITIONS crystal
Y 0.000 0.500 0.000
Y 0.500 0.000 0.000
Mn 0.000 0.000 0.500
Br 0.500 0.500 0.500
F 0.000 0.000 0.000
CELL_PARAMETERS angstrom
5.052 0.000 0.000
0.000 5.052 0.000
0.000 0.000 4.023
```

Values from the calculation:
**Density of states at the Fermi level**: 1.16 states/eV per atom

***

Entry 5:
Material: Mo2BrF
Method: DFT, GGA+U
State: optimized geometry Values from VASP.

```
&SYSTEM
  ibrav = 0, nat = 16, ntyp = 3
/
ATOMIC_SPECIES
Mo 95.94 Mo.upf
Br 79.90 Br.upf
F 19.00 F.upf
ATOMIC_POSITIONS crystal
Mo 0.178 0.250 0.125
Mo 0.250 0.678 0.375
Mo 0.250 0.822 0.875
Mo 0.322 0.250 0.625
Mo 0.678 0.750 0.625
Mo 0.750 0.178 0.875
Mo 0.750 0.322 0.375
Mo 0.822 0.750 0.125
Br 0.000 0.000 0.500
Br 0.000 0.500 0.750
Br 0.500 0.000 0.250
Br 0.500 0.500 0.000
F 0.000 0.000 0.000
F 0.000 0.500 0.250
F 0.500 0.000 0.750
F 0.500 0.500 0.500
CELL_PARAMETERS angstrom
5.715 0.000 0.000
0.000 5.715 0.000
0.000 0.000 13.894
```

Values from the calculation:
**Density of states at the Fermi level**: 0.26 states/eV per atom

***

Entry 6:
Material: MoBrF2
Method: DFT, GGA+U
State: optimized geometry Values from VASP.

```
&SYSTEM
  ibrav = 0, nat = 16, ntyp = 3
/
ATOMIC_SPECIES
Mo 95.94 Mo.upf
Br 79.90 Br.upf
F 19.00 F.upf
ATOMIC_POSITIONS crystal
Mo 0.000 0.000 0.000
Mo 0.000 0.500 0.500
Mo 0.500 0.000 0.500
Mo 0.500 0.500 0.000
Br 0.000 0.000 0.500
Br 0.000 0.500 0.000
Br 0.500 0.000 0.000
Br 0.500 0.500 0.500
F 0.250 0.250 0.250
F 0.250 0.250 0.750
F 0.250 0.750 0.250
F 0.250 0.750 0.750
F 0.750 0.250 0.250
F 0.750 0.250 0.750
F 0.750 0.750 0.250
F 0.750 0.750 0.750
CELL_PARAMETERS angstrom
6.228 0.000 0.000
0.000 6.228 0.000
0.000 0.000 6.228
```

Values from the calculation:
**Density of states at the Fermi level**: 0.14 states/eV per atom

***

Entry 7:
Material: MoBrF2
Method: DFT, GGA+U
State: optimized geometry Values from VASP.

```
&SYSTEM
  ibrav = 0, nat = 16, ntyp = 3
/
ATOMIC_SPECIES
Mo 95.94 Mo.upf
Br 79.90 Br.upf
F 19.00 F.upf
ATOMIC_POSITIONS crystal
Mo 0.000 0.250 0.375
Mo 0.000 0.750 0.625
Mo 0.500 0.250 0.125
Mo 0.500 0.750 0.875
Br 0.000 0.250 0.875
Br 0.000 0.750 0.125
Br 0.500 0.250 0.625
Br 0.500 0.750 0.375
F 0.000 0.000 0.500
F 0.000 0.500 0.500
F 0.250 0.250 0.250
F 0.250 0.750 0.750
F 0.500 0.000 0.000
F 0.500 0.500 0.000
F 0.750 0.250 0.250
F 0.750 0.750 0.750
CELL_PARAMETERS angstrom
4.948 0.000 0.000
0.000 4.948 0.000
0.000 0.000 13.255
```

Values from the calculation:
**Density of states at the Fermi level**: 0.24 states/eV per atom

***

Entry 8:
Material: MoBr3F
Method: DFT, GGA+U
State: optimized geometry Values from VASP.

```
&SYSTEM
  ibrav = 0, nat = 5, ntyp = 3
/
ATOMIC_SPECIES
Mo 95.94 Mo.upf
Br 79.90 Br.upf
F 19.00 F.upf
ATOMIC_POSITIONS crystal
Mo 0.000 0.000 0.000
Br 0.000 0.000 0.500
Br 0.000 0.500 0.000
Br 0.500 0.000 0.000
F 0.500 0.500 0.500
CELL_PARAMETERS angstrom
5.237 0.000 0.000
0.000 5.237 0.000
0.000 0.000 5.237
```

Values from the calculation:
**Density of states at the Fermi level**: 2.68 states/eV per atom

***

Entry 9:
Material: MoBrF3
Method: DFT, GGA+U
State: optimized geometry Values from VASP.

```
&SYSTEM
  ibrav = 0, nat = 5, ntyp = 3
/
ATOMIC_SPECIES
Mo 95.94 Mo.upf
Br 79.90 Br.upf
F 19.00 F.upf
ATOMIC_POSITIONS crystal
Mo 0.000 0.000 0.000
Br 0.500 0.500 0.500
F 0.000 0.000 0.500
F 0.000 0.500 0.000
F 0.500 0.000 0.000
CELL_PARAMETERS angstrom
4.298 0.000 0.000
0.000 4.298 0.000
0.000 0.000 4.298
```

Values from the calculation:
**Density of states at the Fermi level**: 1.64 states/eV per atom

***

Entry 10:
Material: MoBrF
Method: DFT, GGA+U
State: optimized geometry Values from VASP.

```
&SYSTEM
  ibrav = 0, nat = 12, ntyp = 3
/
ATOMIC_SPECIES
Mo 95.94 Mo.upf
Br 79.90 Br.upf
F 19.00 F.upf
ATOMIC_POSITIONS crystal
Mo 0.120 0.000 0.479
Mo 0.380 0.500 0.521
Mo 0.620 0.500 0.479
Mo 0.880 0.000 0.521
Br 0.174 0.500 0.228
Br 0.326 0.000 0.772
Br 0.674 0.000 0.228
Br 0.826 0.500 0.772
F 0.048 0.000 0.723
F 0.452 0.500 0.277
F 0.548 0.500 0.723
F 0.952 0.000 0.277
CELL_PARAMETERS angstrom
13.665 0.000 0.000
0.000 4.147 0.000
-2.627 0.000 6.004
```

Values from the calculation:
**Density of states at the Fermi level**: 0.00 states/eV per atom

***

Entry 11:
Material: MoBrF3
Method: DFT, GGA+U
State: optimized geometry Values from VASP.

```
&SYSTEM
  ibrav = 0, nat = 10, ntyp = 3
/
ATOMIC_SPECIES
Mo 95.94 Mo.upf
Br 79.90 Br.upf
F 19.00 F.upf
ATOMIC_POSITIONS crystal
Mo 0.232 0.250 0.252
Mo 0.768 0.750 0.748
Br 0.346 0.250 0.752
Br 0.654 0.750 0.248
F 0.199 0.053 0.252
F 0.199 0.447 0.252
F 0.270 0.750 0.748
F 0.730 0.250 0.252
F 0.801 0.553 0.748
F 0.801 0.947 0.748
CELL_PARAMETERS angstrom
4.133 0.000 0.000
0.000 9.685 0.000
-0.002 0.000 5.189
```

***

Entry 12:
Material: MoBrF2
Method: DFT, GGA+U
State: optimized geometry Values from VASP.

```
&SYSTEM
  ibrav = 0, nat = 12, ntyp = 3
/
ATOMIC_SPECIES
Mo 95.94 Mo.upf
Br 79.90 Br.upf
F 19.00 F.upf
ATOMIC_POSITIONS crystal
Mo 0.000 0.000 0.000
Mo 0.333 0.667 0.667
Mo 0.667 0.333 0.333
Br 0.000 0.000 0.500
Br 0.333 0.667 0.167
Br 0.667 0.333 0.833
F 0.000 0.000 0.380
F 0.000 0.000 0.620
F 0.333 0.667 0.047
F 0.333 0.667 0.286
F 0.667 0.333 0.714
F 0.667 0.333 0.953
CELL_PARAMETERS angstrom
2.913 0.000 0.000
-1.457 2.523 0.000
0.000 0.000 31.102
```

Values from the calculation:
**Density of states at the Fermi level**: 0.63 states/eV per atom

***

Number 1: final energy -4.31 eV per atom. Number 2: final energy -3.98 eV per atom. Number 3: final energy -4.78 eV per atom. Number 4: final energy -4.83 eV per atom. Number 5: final energy -4.28 eV per atom. Number 6: final energy -3.80 eV per atom. Number 7: final energy -4.40 eV per atom. Number 8: final energy -3.01 eV per atom. Number 9: final energy -4.53 eV per atom. Number 10: final energy -4.65 eV per atom. Number 11: final energy -4.71 eV per atom. Number 12: final energy -4.00 eV per atom.